1.
# PBE KSrHgBr5, relaxed
# **Uncorrected formation energy**: -1.392 eV/atom
# **Calculated volume**: 1287.8 Å³ per cell
# **Size of the total moment**: 0.00 μB/cell
data_KSrHgBr5
_space_group_name_H-M_alt 'C 1 2/c 1'
_space_group_IT_number 15
_space_group_name_Hall '-C 2yc'
_cell_length_a 9.890
_cell_length_b 13.078
_cell_length_c 10.897
_cell_angle_alpha 90.00
_cell_angle_beta 113.98
_cell_angle_gamma 90.00
loop_
_atom_site_label
_atom_site_fract_x
_atom_site_fract_y
_atom_site_fract_z
K1 0.000 0.156 0.250
Sr1 0.000 0.500 0.000
Hg1 0.000 0.180 0.750
Br1 0.000 0.406 0.250
Br2 0.129 0.288 0.620
Br3 0.173 0.051 0.944

=====

2.
# PBE KTa2HgBr, relaxed
# **Uncorrected formation energy**: 1.504 eV/atom
# **Calculated volume**: 179.5 Å³ per cell
# **Size of the total moment**: 2.73 μB/cell
data_KTa2HgBr
_space_group_name_H-M_alt 'P 4/m m m'
_space_group_IT_number 123
_space_group_name_Hall '-P 4 2'
_cell_length_a 5.158
_cell_length_b 5.158
_cell_length_c 6.746
_cell_angle_alpha 90.00
_cell_angle_beta 90.00
_cell_angle_gamma 90.00
loop_
_atom_site_label
_atom_site_fract_x
_atom_site_fract_y
_atom_site_fract_z
K1 0.000 0.000 0.000
Ta1 0.000 0.500 0.500
Hg1 0.000 0.000 0.500
Br1 0.500 0.500 0.000

=====

3.
# PBE KTaHgBr6, relaxed
# **Uncorrected formation energy**: -0.988 eV/atom
# **Calculated volume**: 816.1 Å³ per cell
# **Size of the total moment**: 0.00 μB/cell
data_KTaHgBr6
_space_group_name_H-M_alt 'P -3 1 c'
_space_group_IT_number 163
_space_group_name_Hall '-P 3 2c'
_cell_length_a 8.0680
_cell_length_b 8.0680
_cell_length_c 14.4770
_cell_angle_alpha 90.00
_cell_angle_beta 90.00
_cell_angle_gamma 120.00
loop_
_atom_site_label
_atom_site_fract_x
_atom_site_fract_y
_atom_site_fract_z
K1 0.3333 0.6667 0.2500
Ta1 0.3333 0.6667 0.7500
Hg1 0.0000 0.0000 0.0000
Br1 0.0741 0.4147 0.6474

=====

4.
# PBE KTbHgBr6, relaxed
# **Uncorrected formation energy**: -1.364 eV/atom
# **Calculated volume**: 683.1 Å³ per cell
# **Size of the total moment**: 0.00 μB/cell
data_KTbHgBr6
_space_group_name_H-M_alt 'P -3 1 c'
_space_group_IT_number 163
_space_group_name_Hall '-P 3 2c'
_cell_length_a 7.3445
_cell_length_b 7.3445
_cell_length_c 14.6218
_cell_angle_alpha 90.00
_cell_angle_beta 90.00
_cell_angle_gamma 120.00
loop_
_atom_site_label
_atom_site_fract_x
_atom_site_fract_y
_atom_site_fract_z
K1 0.0000 0.0000 0.0000
Tb1 0.3333 0.6667 0.2500
Hg1 0.3333 0.6667 0.7500
Br1 0.0039 0.3724 0.1372

=====

5.
# PBE KTlHgBr, relaxed
# **Uncorrected formation energy**: -0.559 eV/atom
# **Calculated volume**: 543.9 Å³ per cell
# **Size of the total moment**: 0.00 μB/cell
data_KTlHgBr
_space_group_name_H-M_alt 'F -4 3 m'
_space_group_IT_number 216
_space_group_name_Hall 'F -4 2 3'
_cell_length_a 8.163
_cell_length_b 8.163
_cell_length_c 8.163
_cell_angle_alpha 90.00
_cell_angle_beta 90.00
_cell_angle_gamma 90.00
loop_
_atom_site_label
_atom_site_fract_x
_atom_site_fract_y
_atom_site_fract_z
K1 0.000 0.000 0.000
Tl1 0.000 0.000 0.500
Hg1 0.250 0.250 0.750
Br1 0.250 0.250 0.250

=====

6.
# PBE K2Tl3HgBr6, relaxed
# **Uncorrected formation energy**: -1.014 eV/atom
# **Calculated volume**: 882.7 Å³ per cell
# **Size of the total moment**: 0.00 μB/cell
data_K2Tl3HgBr6
_space_group_name_H-M_alt 'C 1 2/m 1'
_space_group_IT_number 12
_space_group_name_Hall '-C 2y'
_cell_length_a 8.106
_cell_length_b 14.068
_cell_length_c 8.191
_cell_angle_alpha 90.00
_cell_angle_beta 109.10
_cell_angle_gamma 90.00
loop_
_atom_site_label
_atom_site_fract_x
_atom_site_fract_y
_atom_site_fract_z
K1 0.000 0.166 0.000
Tl1 0.000 0.000 0.500
Tl2 0.000 0.330 0.500
Hg1 0.000 0.500 0.000
Br1 0.245 0.335 0.243
Br2 0.246 0.500 0.754